Below is a PBEsol-optimized structure of BaCaB2O5, with properties calculated at the meta-GGA SCAN level.

Cell: 6.541 7.840 20.554 Å, 90.00 90.00 111.12°
Element x y z (fractional)
Ba 0.762 0.238 0.469
Ba 0.738 0.262 0.969
Ba 0.238 0.762 0.531
Ba 0.262 0.738 0.031
Ba 0.262 0.271 0.279
Ba 0.238 0.229 0.779
Ba 0.738 0.729 0.721
Ba 0.762 0.771 0.221
Ca 0.742 0.731 0.415
Ca 0.758 0.769 0.915
Ca 0.258 0.269 0.585
Ca 0.242 0.231 0.085
Ca 0.254 0.749 0.337
Ca 0.246 0.751 0.837
Ca 0.746 0.251 0.663
Ca 0.754 0.249 0.163
B 0.209 0.074 0.442
B 0.291 0.426 0.942
B 0.791 0.926 0.558
B 0.709 0.574 0.058
B 0.763 0.416 0.309
B 0.737 0.084 0.809
B 0.237 0.584 0.691
B 0.263 0.916 0.191
B 0.711 0.083 0.312
B 0.789 0.417 0.812
B 0.289 0.917 0.688
B 0.211 0.583 0.188
B 0.262 0.407 0.434
B 0.238 0.093 0.934
B 0.738 0.593 0.566
B 0.762 0.907 0.066
O 0.332 0.113 0.497
O 0.168 0.387 0.997
O 0.668 0.887 0.503
O 0.832 0.613 0.003
O 0.828 0.110 0.256
O 0.672 0.390 0.756
O 0.172 0.890 0.744
O 0.328 0.610 0.244
O 0.697 0.424 0.246
O 0.803 0.076 0.746
O 0.303 0.576 0.754
O 0.197 0.924 0.254
O 0.204 0.433 0.496
O 0.296 0.067 0.996
O 0.796 0.567 0.504
O 0.704 0.933 0.004
O 0.122 0.902 0.416
O 0.378 0.598 0.916
O 0.878 0.098 0.584
O 0.622 0.402 0.084
O 0.172 0.221 0.409
O 0.328 0.279 0.909
O 0.828 0.779 0.591
O 0.672 0.721 0.091
O 0.632 0.922 0.345
O 0.868 0.578 0.845
O 0.368 0.078 0.655
O 0.132 0.422 0.155
O 0.378 0.537 0.391
O 0.122 0.963 0.891
O 0.622 0.463 0.609
O 0.878 0.037 0.109
O 0.678 0.239 0.340
O 0.822 0.261 0.840
O 0.322 0.761 0.660
O 0.178 0.739 0.160
O 0.883 0.562 0.345
O 0.617 0.938 0.845
O 0.117 0.438 0.655
O 0.383 0.062 0.155

Summary:
SG	P2_1/c (14)
final energy	-13.636	eV/atom
DOS(E_F)	0.000	states/eV/f.u.

=====

Below is a PBEsol-optimized structure of BaCaB2Pd, with properties calculated at the meta-GGA SCAN level.

Cell: 4.365 4.365 5.031 Å, 90.00 90.00 90.00°
Element x y z (fractional)
Ca 0.000 0.000 0.500
B 0.000 0.500 0.000
B 0.500 0.000 0.000
Ba 0.500 0.500 0.500
Pd 0.000 0.000 0.000

Summary:
SG	P4/mmm (123)
energy of formation from the pure elements	0.5746	eV per atom
final energy	-18.795	eV/atom
DOS(E_F)	2.100	states/eV/f.u.

=====

Below is a PBEsol-optimized structure of BaSr2CaB, with properties calculated at the meta-GGA SCAN level.

Cell: 4.812 6.567 6.567 Å, 90.00 90.00 90.00°
Element x y z (fractional)
Sr 0.000 0.000 0.500
Sr 0.000 0.500 0.000
Ca 0.500 0.500 0.500
B 0.500 0.000 0.000
Ba 0.000 0.000 0.000

Summary:
SG	P4/mmm (123)
energy of formation from the pure elements	1.0860	eV per atom
final energy	-19.153	eV/atom
DOS(E_F)	5.427	states/eV/f.u.

=====

Below is a PBEsol-optimized structure of BaCrCd2B, with properties calculated at the meta-GGA SCAN level.

Cell: 4.836 6.054 6.054 Å, 90.00 90.00 90.00°
Element x y z (fractional)
Cr 0.500 0.500 0.500
B 0.500 0.000 0.000
Ba 0.000 0.000 0.000
Cd 0.000 0.000 0.500
Cd 0.000 0.500 0.000

Summary:
SG	P4/mmm (123)
energy of formation from the pure elements	1.7038	eV per atom
final energy	-23.535	eV/atom
DOS(E_F)	2.810	states/eV/f.u.

=====

Below is a PBEsol-optimized structure of BaNbCdB2, with properties calculated at the meta-GGA SCAN level.

Cell: 4.689 4.689 5.440 Å, 90.00 90.00 90.00°
Element x y z (fractional)
Nb 0.000 0.000 0.500
B 0.000 0.500 0.000
B 0.500 0.000 0.000
Ba 0.000 0.000 0.000
Cd 0.500 0.500 0.500

Summary:
SG	P4/mmm (123)
energy of formation from the pure elements	2.7717	eV per atom
final energy	-20.819	eV/atom
DOS(E_F)	2.727	states/eV/f.u.

=====

Below is a PBEsol-optimized structure of Ba2CdB2O6, with properties calculated at the meta-GGA SCAN level.

Cell: 5.358 5.545 6.540 Å, 114.91 90.00 118.89°
Element x y z (fractional)
B 0.059 0.117 0.258
B 0.941 0.883 0.742
Ba 0.290 0.580 0.811
Ba 0.710 0.420 0.189
O 0.218 0.435 0.330
O 0.248 0.049 0.777
O 0.199 0.951 0.223
O 0.752 0.951 0.223
O 0.801 0.049 0.777
O 0.782 0.565 0.670
Cd 0.500 0.000 0.500

Summary:
SG	C2/m (12)
final energy	-17.398	eV/atom
DOS(E_F)	0.000	states/eV/f.u.

=====

Below is a PBEsol-optimized structure of Ba2CdB6O12, with properties calculated at the meta-GGA SCAN level.

Cell: 7.155 7.155 7.072 Å, 59.61 59.61 60.00°
Element x y z (fractional)
Ba 0.209 0.209 0.374
Ba 0.791 0.791 0.626
Cd 0.000 0.000 0.000
B 0.634 0.367 0.756
B 0.367 0.243 0.756
B 0.243 0.634 0.756
B 0.366 0.633 0.244
B 0.633 0.757 0.244
B 0.757 0.366 0.244
O 0.840 0.336 0.742
O 0.336 0.082 0.742
O 0.082 0.840 0.742
O 0.160 0.664 0.258
O 0.664 0.918 0.258
O 0.918 0.160 0.258
O 0.458 0.579 0.762
O 0.579 0.201 0.762
O 0.201 0.458 0.762
O 0.542 0.421 0.238
O 0.421 0.799 0.238
O 0.799 0.542 0.238

Summary:
SG	R-3 (148)
final energy	-13.619	eV/atom
DOS(E_F)	0.000	states/eV/f.u.

=====

Below is a PBEsol-optimized structure of BaB3Cl, with properties calculated at the meta-GGA SCAN level.

Cell: 5.233 5.233 5.233 Å, 90.00 90.00 90.00°
Element x y z (fractional)
B 0.000 0.500 0.000
B 0.000 0.000 0.500
B 0.500 0.000 0.000
Ba 0.000 0.000 0.000
Cl 0.500 0.500 0.500

Summary:
SG	Pm-3m (221)
final energy	-11.180	eV/atom
DOS(E_F)	4.993	states/eV/f.u.